## w
Below is crystalline Ti2HgPb at its relaxed geometry, with properties calculated at the GGA-PBE level.

The structure in POSCAR format:
```
Ti2HgPb
1.0
-1.383 -2.814 2.731
3.566 0.607 2.432
-2.045 3.151 2.212
Pb Ti Hg
1 2 1
direct
0.500 0.500 0.500
0.000 0.000 0.500
0.000 0.500 0.000
0.500 0.000 0.000
```

The volume comes out at 79.0 Å³/cell. The space group is P4/mmm, No. 123.



## x
Below is crystalline Ti2HgPb at its relaxed geometry, with properties calculated at the GGA-PBE level.

The structure in POSCAR format:
```
Ti2HgPb
1.0
0.000 3.418 3.418
3.418 0.000 3.418
3.418 3.418 0.000
Ti Hg Pb
2 1 1
direct
0.750 0.750 0.750
0.250 0.250 0.250
0.000 0.000 0.000
0.500 0.500 0.500
```

The volume comes out at 79.9 Å³/cell. The space group is Fm-3m, No. 225.



In terms of stability, w leads; the second structure lies 96 meV per atom higher.